1.
VASP calculation (PBE) on a relaxed structure of Zn2CuPd6.

```
9
Lattice="0.0000 5.2633 6.1264 2.0461 0.0000 6.1264 2.0461 5.2633 0.0000" Properties=species:S:1:pos:R:3 pbc="T T T"
Zn 2.0461 5.2633 1.9896
Zn 2.0461 5.2633 10.2633
Cu 2.0461 5.2633 6.1264
Pd 2.0461 1.6725 6.1264
Pd 2.0461 3.6207 4.0738
Pd 2.0461 6.9059 4.0738
Pd 2.0461 3.6207 8.1791
Pd 2.0461 6.9059 8.1791
Pd 2.0461 8.8542 6.1264
```

Calculated values
SG = Fmmm (69)
Relative energy among the computed polymorphs = 8 meV per atom

***

2.
VASP calculation (PBE) on a relaxed structure of CaThCdHg.

```
4
Lattice="0.0000 3.8240 3.8240 3.8240 0.0000 3.8240 3.8240 3.8240 0.0000" Properties=species:S:1:pos:R:3 pbc="T T T"
Ca 0.0000 0.0000 0.0000
Th 3.8240 3.8240 3.8240
Cd 5.7361 5.7361 5.7361
Hg 1.9120 1.9120 1.9120
```

Calculated values
Total energy = -11.67 eV/cell
SG = F-43m (216)

***

3.
VASP calculation (PBE) on a relaxed structure of BeAs2Ir.

```
4
Lattice="2.6424 -3.6303 0.0000 2.6424 3.6303 0.0000 0.0000 0.0000 3.1323" Properties=species:S:1:pos:R:3 pbc="T T T"
Be 0.0000 0.0000 0.0000
As 1.3212 1.8151 1.5661
As 1.3212 -1.8151 1.5661
Ir 2.6424 0.0000 0.0000
```

Calculated values
Total energy = -20.78 eV/cell
SG = Cmmm (65)

***

4.
VASP calculation (PBE) on a relaxed structure of Pu5IrAu4.

```
10
Lattice="3.4061 0.0000 0.0000 0.0000 3.4061 0.0000 0.0000 0.0000 19.8655" Properties=species:S:1:pos:R:3 pbc="T T T"
Pu 0.0000 0.0000 0.0000
Pu 0.0000 0.0000 4.0664
Pu 0.0000 0.0000 8.2267
Pu 0.0000 0.0000 11.6388
Pu 0.0000 0.0000 15.7991
Ir 1.7031 1.7031 9.9327
Au 1.7031 1.7031 2.0417
Au 1.7031 1.7031 6.1153
Au 1.7031 1.7031 13.7502
Au 1.7031 1.7031 17.8238
```

Calculated values
Total energy = -97.85 eV/cell
SG = P4/mmm (123)

***

5.
VASP calculation (PBE) on a relaxed structure of Ac2TePb.

```
4
Lattice="2.3856 1.3773 8.2299 -2.3856 1.3773 8.2299 0.0000 -2.7546 8.2299" Properties=species:S:1:pos:R:3 pbc="T T T"
Ac 0.0000 0.0000 0.0000
Ac 0.0000 0.0000 4.4180
Te 0.0000 0.0000 10.3820
Pb 0.0000 0.0000 14.5619
```

Calculated values
SG = R3m (160)
Relative energy among the computed polymorphs = 86 meV per atom

***

6.
VASP calculation (PBE) on a relaxed structure of Tm6BiSb3.

```
20
Lattice="5.5210 -7.2777 0.0000 5.5210 7.2777 0.0000 0.0000 0.0000 7.5112" Properties=species:S:1:pos:R:3 pbc="T T T"
Tm 5.5210 7.2549 3.7556
Tm 3.2558 3.2622 0.0784
Tm 5.5210 3.7035 2.7168
Tm 3.6736 0.7984 3.0205
Tm 3.6736 -0.7984 6.7761
Tm 7.7861 3.2622 0.0784
Tm 3.2558 -3.2622 3.8340
Tm 7.3683 0.7984 3.0205
Tm 7.3683 -0.7984 6.7761
Tm 5.5210 -3.7035 6.4724
Tm 7.7861 -3.2622 3.8340
Tm 5.5210 -7.2549 0.0000
Bi 5.5210 4.6987 5.6144
Bi 5.5210 -4.6987 1.8588
Sb 2.0423 1.3908 5.5077
Sb 2.0423 -1.3908 1.7521
Sb 5.5210 1.2501 0.6263
Sb 5.5210 -1.2501 4.3819
Sb 8.9997 1.3908 5.5077
Sb 8.9997 -1.3908 1.7521
```

Calculated values
Total energy = -99.77 eV/cell
SG = Cmc2_1 (36)

***

7.
VASP calculation (PBE) on a relaxed structure of AlTe2PtS.

```
5
Lattice="5.4298 0.0000 0.0000 0.0000 5.4298 0.0000 0.0000 0.0000 4.4248" Properties=species:S:1:pos:R:3 pbc="T T T"
Al 0.0000 0.0000 0.0000
Te 0.0000 2.7149 2.2124
Te 2.7149 0.0000 2.2124
Pt 2.7149 2.7149 0.0000
S 2.7149 2.7149 2.2124
```

Calculated values
Total energy = -17.65 eV/cell
SG = P4/mmm (123)

***

8.
VASP calculation (PBE) on a relaxed structure of CeTh3Al2.

```
6
Lattice="0.0000 5.4629 5.4363 2.7851 0.0000 5.4363 2.7851 5.4629 0.0000" Properties=species:S:1:pos:R:3 pbc="T T T"
Ce 0.0000 0.0000 0.0000
Th 2.7851 3.7425 3.7031
Th 2.7851 7.1833 3.7031
Th 2.7851 5.4629 7.4356
Al 1.3925 2.7314 0.9789
Al 4.1776 8.1943 6.4152
```

Calculated values
Total energy = -36.88 eV/cell
SG = Fmm2 (42)

***

9.
VASP calculation (PBE) on a relaxed structure of TcPtCl3.

```
5
Lattice="4.8012 0.0000 0.0000 0.0000 4.8012 0.0000 0.0000 0.0000 4.8012" Properties=species:S:1:pos:R:3 pbc="T T T"
Tc 0.0000 0.0000 0.0000
Pt 2.4006 2.4006 2.4006
Cl 0.0000 0.0000 2.4006
Cl 0.0000 2.4006 0.0000
Cl 2.4006 0.0000 0.0000
```

Calculated values
Total energy = -18.90 eV/cell
SG = Pm-3m (221)

***

10.
VASP calculation (PBE) on a relaxed structure of KTcRu2.

```
4
Lattice="1.4273 -2.3200 0.0000 1.4273 2.3200 0.0000 0.0000 0.0000 10.3528" Properties=species:S:1:pos:R:3 pbc="T T T"
K 0.0000 0.0000 0.0000
Tc 1.4273 0.0000 3.0391
Ru 0.0000 0.0000 5.2249
Ru 1.4273 0.0000 7.4601
```

Calculated values
SG = Cmm2 (35)
Relative energy among the computed polymorphs = 258 meV per atom

***

11.
VASP calculation (PBE) on a relaxed structure of TaCl.

```
4
Lattice="-1.5002 2.3932 4.8538 1.5002 -2.3932 4.8538 1.5002 2.3932 -4.8538" Properties=species:S:1:pos:R:3 pbc="T T T"
Ta 0.0000 1.1966 1.0881
Ta 1.5002 1.1966 3.7656
Cl 1.5002 1.1966 -1.0291
Cl 0.0000 1.1966 5.8829
```

Calculated values
Total energy = -25.96 eV/cell
SG = Imma (74)

***

12.
VASP calculation (PBE) on a relaxed structure of Cu3MoS.

```
5
Lattice="4.6888 0.0000 0.0000 0.0000 4.6888 0.0000 0.0000 0.0000 4.6888" Properties=species:S:1:pos:R:3 pbc="T T T"
Cu 0.0000 0.0000 2.3444
Cu 0.0000 2.3444 0.0000
Cu 2.3444 0.0000 0.0000
Mo 0.0000 0.0000 0.0000
S 2.3444 2.3444 2.3444
```

Calculated values
SG = Pm-3m (221)
Relative energy among the computed polymorphs = 846 meV per atom

***

Number 1: calculated density 10.5 g cm⁻³, N(E_F) 5.02 states/eV per cell. Number 2: calculated density 8.7 g cm⁻³, N(E_F) 2.79 states/eV per cell. Number 3: calculated density 9.7 g cm⁻³, N(E_F) 1.30 states/eV per cell. Number 4: calculated density 15.9 g cm⁻³, N(E_F) 36.81 states/eV per cell. Number 5: calculated density 8.1 g cm⁻³, N(E_F) 2.36 states/eV per cell. Number 6: calculated density 8.7 g cm⁻³, N(E_F) 14.90 states/eV per cell. Number 7: calculated density 6.5 g cm⁻³, N(E_F) 3.21 states/eV per cell. Number 8: calculated density 8.9 g cm⁻³, N(E_F) 8.60 states/eV per cell. Number 9: calculated density 6.0 g cm⁻³, N(E_F) 4.24 states/eV per cell. Number 10: calculated density 8.2 g cm⁻³, N(E_F) 5.26 states/eV per cell. Number 11: calculated density 10.3 g cm⁻³, N(E_F) 2.25 states/eV per cell. Number 12: calculated density 5.1 g cm⁻³, N(E_F) 3.40 states/eV per cell.